Record 1
K2BaAl: optimized geometry, GGA-PBE.

Unit cell a=13.352 b=13.352 c=13.352 alpha=18.54 beta=18.54 gamma=18.54
Sites, in units of the cell vectors:
K 0.233 0.233 0.233
K 0.767 0.767 0.767
Ba 0.000 0.000 0.000
Al 0.500 0.500 0.500

Formation energy = 0.4022 eV/atom
V = 52.6 Å³ per atom
Space-group type = R-3m, No. 166
Crystal system = trigonal
E = -6.3 eV per cell



Record 2
K2BaAl: optimized geometry, GGA-PBE.

Unit cell a=4.676 b=5.843 c=6.805 alpha=90.00 beta=90.00 gamma=90.00
Sites, in units of the cell vectors:
K 0.000 0.000 0.000
K 0.500 0.500 0.000
Ba 0.000 0.500 0.500
Al 0.500 0.000 0.500

Formation energy = 0.2491 eV/atom
V = 46.5 Å³ per atom
Space-group type = Pmmm, No. 47
Crystal system = orthorhombic
E = -6.9 eV per cell



Record 3
KBa2Al: optimized geometry, GGA-PBE.

Unit cell a=4.228 b=4.228 c=11.397 alpha=90.00 beta=90.00 gamma=90.00
Sites, in units of the cell vectors:
K 0.000 0.000 0.000
Ba 0.500 0.500 0.331
Ba 0.500 0.500 0.669
Al 0.000 0.000 0.500

Formation energy = -0.0437 eV/atom
V = 50.9 Å³ per atom
Space-group type = P4/mmm, No. 123
Crystal system = tetragonal
E = -8.9 eV per cell



Record 4
KBaAl2Mo: optimized geometry, GGA-PBE.

Unit cell a=5.169 b=5.169 c=5.657 alpha=90.00 beta=90.00 gamma=90.00
Sites, in units of the cell vectors:
K 0.000 0.000 0.000
Ba 0.500 0.500 0.000
Al 0.000 0.500 0.500
Al 0.500 0.000 0.500
Mo 0.500 0.500 0.500

Formation energy = 0.4049 eV/atom
V = 30.2 Å³ per atom
Space-group type = P4/mmm, No. 123
Crystal system = tetragonal
E = -19.3 eV per cell



Record 5
KBa2AlPd: optimized geometry, GGA-PBE.

Unit cell a=6.361 b=6.361 c=5.036 alpha=90.00 beta=90.00 gamma=90.00
Sites, in units of the cell vectors:
K 0.000 0.000 0.000
Ba 0.000 0.500 0.500
Ba 0.500 0.000 0.500
Al 0.500 0.500 0.000
Pd 0.500 0.500 0.500

Formation energy = -0.1827 eV/atom
V = 40.7 Å³ per atom
Space-group type = P4/mmm, No. 123
Crystal system = tetragonal
E = -14.8 eV per cell



Record 6
KBa2AlPt: optimized geometry, GGA-PBE.

Unit cell a=6.365 b=6.365 c=4.974 alpha=90.00 beta=90.00 gamma=90.00
Sites, in units of the cell vectors:
K 0.000 0.000 0.000
Ba 0.000 0.500 0.500
Ba 0.500 0.000 0.500
Al 0.500 0.500 0.000
Pt 0.500 0.500 0.500

Formation energy = -0.3217 eV/atom
V = 40.3 Å³ per atom
Space-group type = P4/mmm, No. 123
Crystal system = tetragonal
E = -16.3 eV per cell



Record 7
KBa2AlRh: optimized geometry, GGA-PBE.

Unit cell a=6.200 b=6.200 c=5.007 alpha=90.00 beta=90.00 gamma=90.00
Sites, in units of the cell vectors:
K 0.000 0.000 0.000
Ba 0.000 0.500 0.500
Ba 0.500 0.000 0.500
Al 0.500 0.500 0.000
Rh 0.500 0.500 0.500

Formation energy = -0.1208 eV/atom
V = 38.5 Å³ per atom
Space-group type = P4/mmm, No. 123
Crystal system = tetragonal
E = -16.6 eV per cell



Record 8
KBaAlRu2: optimized geometry, GGA-PBE.

Unit cell a=5.240 b=5.240 c=6.079 alpha=90.00 beta=90.00 gamma=90.00
Sites, in units of the cell vectors:
K 0.000 0.000 0.000
Ba 0.500 0.500 0.500
Al 0.500 0.500 0.000
Ru 0.000 0.500 0.500
Ru 0.500 0.000 0.500

Formation energy = 1.8440 eV/atom
V = 33.4 Å³ per atom
Space-group type = P4/mmm, No. 123
Crystal system = tetragonal
E = -16.1 eV per cell